P) Computed, not measured: Zr2NiTe2 after structural relaxation at the PBE level of DFT.

Unit cell a=7.648 b=7.648 c=7.648 alpha=148.30 beta=148.30 gamma=45.44
Positions (direct):
Zr (0.099, 0.099, 0.000)
Zr (0.901, 0.901, 0.000)
Ni (0.500, 0.500, 0.000)
Te (0.250, 0.750, 0.500)
Te (0.750, 0.250, 0.500)

Output
Calculated volume = 123.1 Å³ per cell
Mass density = 6.69 g/cm3
Space group = I4/mmm
Fermi-level density of states = 0.1538 states/eV per atom


Q) Computed, not measured: Zr2NiTe2 after structural relaxation at the PBE level of DFT.

Unit cell a=7.497 b=7.497 c=3.969 alpha=90.00 beta=90.00 gamma=90.00
Positions (direct):
Zr (0.150, 0.350, 0.000)
Zr (0.350, 0.850, 0.000)
Zr (0.650, 0.150, 0.000)
Zr (0.850, 0.650, 0.000)
Ni (0.000, 0.000, 0.000)
Ni (0.500, 0.500, 0.000)
Te (0.153, 0.653, 0.500)
Te (0.347, 0.153, 0.500)
Te (0.653, 0.847, 0.500)
Te (0.847, 0.347, 0.500)

Output
Calculated volume = 223.0 Å³ per cell
Mass density = 7.39 g/cm3
Space group = P4/mbm
Fermi-level density of states = 0.3640 states/eV per atom


Which structure loses on stability? P) does.


P) Computed, not measured: ThNi6 after structural relaxation at the PBE level of DFT.

Unit cell a=5.240 b=5.240 c=5.240 alpha=90.00 beta=90.00 gamma=90.00
Positions (direct):
Th (0.000, 0.000, 0.000)
Ni (0.196, 0.500, 0.500)
Ni (0.500, 0.196, 0.500)
Ni (0.500, 0.500, 0.196)
Ni (0.500, 0.500, 0.804)
Ni (0.500, 0.804, 0.500)
Ni (0.804, 0.500, 0.500)

Output
Calculated volume = 143.9 Å³ per cell
Mass density = 6.74 g/cm3
Space group = Pm-3m
Fermi-level density of states = 1.0528 states/eV per atom


Q) Computed, not measured: ThNi6 after structural relaxation at the PBE level of DFT.

Unit cell a=7.848 b=4.901 c=9.900 alpha=90.00 beta=90.00 gamma=90.00
Positions (direct):
Th (0.240, 0.250, 0.062)
Th (0.260, 0.750, 0.562)
Th (0.740, 0.250, 0.438)
Th (0.760, 0.750, 0.938)
Ni (0.062, 0.750, 0.094)
Ni (0.067, 0.005, 0.309)
Ni (0.067, 0.495, 0.309)
Ni (0.106, 0.250, 0.519)
Ni (0.149, 0.750, 0.851)
Ni (0.182, 0.250, 0.758)
Ni (0.318, 0.750, 0.258)
Ni (0.351, 0.250, 0.351)
Ni (0.394, 0.750, 0.019)
Ni (0.433, 0.505, 0.809)
Ni (0.433, 0.995, 0.809)
Ni (0.438, 0.250, 0.594)
Ni (0.562, 0.750, 0.406)
Ni (0.567, 0.005, 0.191)
Ni (0.567, 0.495, 0.191)
Ni (0.606, 0.250, 0.981)
Ni (0.649, 0.750, 0.649)
Ni (0.682, 0.250, 0.742)
Ni (0.818, 0.750, 0.242)
Ni (0.851, 0.250, 0.149)
Ni (0.894, 0.750, 0.481)
Ni (0.933, 0.505, 0.691)
Ni (0.933, 0.995, 0.691)
Ni (0.938, 0.250, 0.906)

Output
Calculated volume = 380.8 Å³ per cell
Mass density = 10.19 g/cm3
Space group = Pnma
Fermi-level density of states = 1.4903 states/eV per atom


Which structure loses on stability? P) does.


P) Computed, not measured: ThTiNi2 after structural relaxation at the PBE level of DFT.

Unit cell a=4.266 b=4.266 c=9.368 alpha=90.00 beta=90.00 gamma=120.00
Positions (direct):
Th (0.333, 0.667, 0.250)
Th (0.667, 0.333, 0.750)
Ti (0.000, 0.000, 0.000)
Ti (0.000, 0.000, 0.500)
Ni (0.333, 0.667, 0.555)
Ni (0.333, 0.667, 0.945)
Ni (0.667, 0.333, 0.055)
Ni (0.667, 0.333, 0.445)

Output
Calculated volume = 147.6 Å³ per cell
Mass density = 8.94 g/cm3
Space group = P6_3/mmc
Fermi-level density of states = 0.8713 states/eV per atom


Q) Computed, not measured: ThTiNi2 after structural relaxation at the PBE level of DFT.

Unit cell a=5.313 b=5.313 c=5.313 alpha=47.20 beta=47.20 gamma=47.20
Positions (direct):
Th (0.000, 0.000, 0.000)
Ti (0.500, 0.500, 0.500)
Ni (0.203, 0.203, 0.203)
Ni (0.797, 0.797, 0.797)

Output
Calculated volume = 73.8 Å³ per cell
Mass density = 8.93 g/cm3
Space group = R-3m
Fermi-level density of states = 0.6990 states/eV per atom


R) Computed, not measured: ThTiNi2 after structural relaxation at the PBE level of DFT.

Unit cell a=3.165 b=3.165 c=6.845 alpha=90.00 beta=90.00 gamma=90.00
Positions (direct):
Th (0.000, 0.000, 0.000)
Ti (0.000, 0.000, 0.500)
Ni (0.500, 0.500, 0.311)
Ni (0.500, 0.500, 0.689)

Output
Calculated volume = 68.6 Å³ per cell
Mass density = 9.62 g/cm3
Space group = P4/mmm
Fermi-level density of states = 1.2237 states/eV per atom


Which structure loses on stability? R) does.


P) Computed, not measured: Th2TlNi after structural relaxation at the PBE level of DFT.

Unit cell a=3.901 b=3.901 c=8.818 alpha=102.58 beta=102.58 gamma=60.07
Positions (direct):
Th (0.234, 0.234, 0.196)
Th (0.766, 0.766, 0.804)
Tl (0.000, 0.000, 0.500)
Ni (0.500, 0.500, 0.000)

Output
Calculated volume = 112.5 Å³ per cell
Mass density = 10.73 g/cm3
Space group = C2/m
Fermi-level density of states = 1.2067 states/eV per atom


Q) Computed, not measured: Th2TlNi after structural relaxation at the PBE level of DFT.

Unit cell a=9.113 b=9.113 c=9.113 alpha=24.22 beta=24.22 gamma=24.22
Positions (direct):
Th (0.000, 0.000, 0.000)
Th (0.204, 0.204, 0.204)
Tl (0.436, 0.436, 0.436)
Ni (0.603, 0.603, 0.603)

Output
Calculated volume = 111.9 Å³ per cell
Mass density = 10.79 g/cm3
Space group = R3m
Fermi-level density of states = 1.4660 states/eV per atom


Which structure loses on stability? Q) does.


P) Computed, not measured: Th3TlNi after structural relaxation at the PBE level of DFT.

Unit cell a=5.354 b=5.354 c=5.354 alpha=90.00 beta=90.00 gamma=90.00
Positions (direct):
Th (0.000, 0.000, 0.500)
Th (0.000, 0.500, 0.000)
Th (0.500, 0.000, 0.000)
Tl (0.500, 0.500, 0.500)
Ni (0.000, 0.000, 0.000)

Output
Calculated volume = 153.5 Å³ per cell
Mass density = 10.38 g/cm3
Space group = Pm-3m
Fermi-level density of states = 1.1771 states/eV per atom


Q) Computed, not measured: Th3TlNi after structural relaxation at the PBE level of DFT.

Unit cell a=6.938 b=6.938 c=11.679 alpha=107.65 beta=107.65 gamma=30.98
Positions (direct):
Th (0.022, 0.022, 0.358)
Th (0.261, 0.261, 0.648)
Th (0.354, 0.354, 0.114)
Th (0.646, 0.646, 0.886)
Th (0.739, 0.739, 0.352)
Th (0.978, 0.978, 0.642)
Tl (0.095, 0.095, 0.112)
Tl (0.905, 0.905, 0.888)
Ni (0.397, 0.397, 0.438)
Ni (0.603, 0.603, 0.562)

Output
Calculated volume = 274.7 Å³ per cell
Mass density = 11.60 g/cm3
Space group = C2/m
Fermi-level density of states = 1.1079 states/eV per atom


Which structure loses on stability? P) does.


P) Computed, not measured: TmTh2Ni2 after structural relaxation at the PBE level of DFT.

Unit cell a=7.766 b=7.766 c=3.756 alpha=90.00 beta=90.00 gamma=90.00
Positions (direct):
Tm (0.000, 0.000, 0.000)
Tm (0.500, 0.500, 0.000)
Th (0.168, 0.332, 0.500)
Th (0.332, 0.832, 0.500)
Th (0.668, 0.168, 0.500)
Th (0.832, 0.668, 0.500)
Ni (0.125, 0.625, 0.000)
Ni (0.375, 0.125, 0.000)
Ni (0.625, 0.875, 0.000)
Ni (0.875, 0.375, 0.000)

Output
Calculated volume = 226.6 Å³ per cell
Mass density = 11.00 g/cm3
Space group = P4/mbm
Fermi-level density of states = 1.0605 states/eV per atom


Q) Computed, not measured: TmTh2Ni2 after structural relaxation at the PBE level of DFT.

Unit cell a=6.122 b=6.122 c=6.122 alpha=145.00 beta=115.80 gamma=75.26
Positions (direct):
Tm (0.000, 0.000, 0.000)
Th (0.308, 0.808, 0.500)
Th (0.692, 0.192, 0.500)
Ni (0.309, 0.500, 0.809)
Ni (0.691, 0.500, 0.191)

Output
Calculated volume = 116.1 Å³ per cell
Mass density = 10.73 g/cm3
Space group = Immm
Fermi-level density of states = 1.2141 states/eV per atom


Which structure loses on stability? Q) does.


P) Computed, not measured: Tm2ThNi6 after structural relaxation at the PBE level of DFT.

Unit cell a=7.020 b=7.020 c=3.624 alpha=90.00 beta=90.00 gamma=120.00
Positions (direct):
Tm (0.333, 0.667, 0.000)
Tm (0.667, 0.333, 0.000)
Th (0.000, 0.000, 0.000)
Ni (0.000, 0.335, 0.500)
Ni (0.000, 0.665, 0.500)
Ni (0.335, 0.000, 0.500)
Ni (0.335, 0.335, 0.500)
Ni (0.665, 0.000, 0.500)
Ni (0.665, 0.665, 0.500)

Output
Calculated volume = 154.7 Å³ per cell
Mass density = 9.90 g/cm3
Space group = P6/mmm
Fermi-level density of states = 1.2980 states/eV per atom


Q) Computed, not measured: Tm2ThNi6 after structural relaxation at the PBE level of DFT.

Unit cell a=7.488 b=7.488 c=7.488 alpha=152.67 beta=125.42 gamma=62.10
Positions (direct):
Tm (0.142, 0.142, 0.000)
Tm (0.858, 0.858, 0.000)
Th (0.500, 0.000, 0.500)
Ni (0.142, 0.327, 0.816)
Ni (0.179, 0.500, 0.679)
Ni (0.489, 0.673, 0.816)
Ni (0.511, 0.327, 0.184)
Ni (0.821, 0.500, 0.321)
Ni (0.858, 0.673, 0.184)

Output
Calculated volume = 155.9 Å³ per cell
Mass density = 9.82 g/cm3
Space group = Immm
Fermi-level density of states = 0.8643 states/eV per atom


Which structure loses on stability? Q) does.


P) Computed, not measured: Tm2ThNi2 after structural relaxation at the PBE level of DFT.

Unit cell a=6.243 b=6.243 c=7.094 alpha=98.81 beta=98.81 gamma=56.05
Positions (direct):
Tm (0.052, 0.267, 0.155)
Tm (0.267, 0.052, 0.655)
Tm (0.733, 0.948, 0.345)
Tm (0.948, 0.733, 0.845)
Th (0.400, 0.600, 0.250)
Th (0.600, 0.400, 0.750)
Ni (0.213, 0.462, 0.485)
Ni (0.462, 0.213, 0.985)
Ni (0.538, 0.787, 0.015)
Ni (0.787, 0.538, 0.515)

Output
Calculated volume = 225.9 Å³ per cell
Mass density = 10.11 g/cm3
Space group = C2/c
Fermi-level density of states = 0.8391 states/eV per atom


Q) Computed, not measured: Tm2ThNi2 after structural relaxation at the PBE level of DFT.

Unit cell a=5.420 b=4.166 c=10.441 alpha=90.00 beta=94.28 gamma=90.00
Positions (direct):
Tm (0.158, 0.250, 0.115)
Tm (0.242, 0.250, 0.455)
Tm (0.758, 0.750, 0.545)
Tm (0.842, 0.750, 0.885)
Th (0.323, 0.250, 0.794)
Th (0.677, 0.750, 0.206)
Ni (0.269, 0.750, 0.632)
Ni (0.354, 0.750, 0.978)
Ni (0.646, 0.250, 0.022)
Ni (0.731, 0.250, 0.368)

Output
Calculated volume = 235.1 Å³ per cell
Mass density = 9.71 g/cm3
Space group = P2_1/m
Fermi-level density of states = 0.5903 states/eV per atom


Which structure loses on stability? Q) does.


P) Computed, not measured: TmThNi3 after structural relaxation at the PBE level of DFT.

Unit cell a=12.559 b=12.559 c=3.944 alpha=90.00 beta=90.00 gamma=162.45
Positions (direct):
Tm (0.205, 0.795, 0.750)
Tm (0.795, 0.205, 0.250)
Th (0.073, 0.927, 0.250)
Th (0.927, 0.073, 0.750)
Ni (0.321, 0.679, 0.750)
Ni (0.377, 0.623, 0.250)
Ni (0.473, 0.527, 0.250)
Ni (0.527, 0.473, 0.750)
Ni (0.623, 0.377, 0.750)
Ni (0.679, 0.321, 0.250)

Output
Calculated volume = 187.6 Å³ per cell
Mass density = 10.21 g/cm3
Space group = Cmcm
Fermi-level density of states = 0.8379 states/eV per atom


Q) Computed, not measured: TmThNi3 after structural relaxation at the PBE level of DFT.

Unit cell a=12.705 b=12.705 c=4.050 alpha=90.00 beta=90.00 gamma=163.28
Positions (direct):
Tm (0.067, 0.933, 0.750)
Tm (0.933, 0.067, 0.250)
Th (0.195, 0.805, 0.250)
Th (0.805, 0.195, 0.750)
Ni (0.322, 0.678, 0.250)
Ni (0.386, 0.614, 0.750)
Ni (0.478, 0.522, 0.750)
Ni (0.522, 0.478, 0.250)
Ni (0.614, 0.386, 0.250)
Ni (0.678, 0.322, 0.750)

Output
Calculated volume = 188.0 Å³ per cell
Mass density = 10.19 g/cm3
Space group = Cmcm
Fermi-level density of states = 0.8480 states/eV per atom


Which structure loses on stability? Q) does.


P) Computed, not measured: YThNi4 after structural relaxation at the PBE level of DFT.

Unit cell a=5.136 b=5.136 c=5.136 alpha=60.00 beta=60.00 gamma=60.00
Positions (direct):
Y (0.000, 0.000, 0.000)
Th (0.250, 0.250, 0.250)
Ni (0.124, 0.625, 0.625)
Ni (0.625, 0.124, 0.625)
Ni (0.625, 0.625, 0.124)
Ni (0.625, 0.625, 0.625)

Output
Calculated volume = 95.8 Å³ per cell
Mass density = 9.63 g/cm3
Space group = F-43m
Fermi-level density of states = 0.6844 states/eV per atom


Q) Computed, not measured: YThNi4 after structural relaxation at the PBE level of DFT.

Unit cell a=3.727 b=4.074 c=7.056 alpha=90.00 beta=90.00 gamma=90.00
Positions (direct):
Y (0.000, 0.000, 0.000)
Th (0.000, 0.500, 0.500)
Ni (0.500, 0.000, 0.332)
Ni (0.500, 0.000, 0.668)
Ni (0.500, 0.500, 0.166)
Ni (0.500, 0.500, 0.834)

Output
Calculated volume = 107.1 Å³ per cell
Mass density = 8.61 g/cm3
Space group = Pmmm
Fermi-level density of states = 1.3208 states/eV per atom


Which structure loses on stability? P) does.


P) Computed, not measured: Y2ThNi after structural relaxation at the PBE level of DFT.

Unit cell a=10.752 b=10.752 c=10.752 alpha=18.80 beta=18.80 gamma=18.80
Positions (direct):
Y (0.110, 0.110, 0.110)
Y (0.890, 0.890, 0.890)
Th (0.000, 0.000, 0.000)
Ni (0.500, 0.500, 0.500)

Output
Calculated volume = 112.9 Å³ per cell
Mass density = 6.89 g/cm3
Space group = R-3m
Fermi-level density of states = 0.9493 states/eV per atom


Q) Computed, not measured: Y2ThNi after structural relaxation at the PBE level of DFT.

Unit cell a=3.464 b=3.464 c=8.602 alpha=90.00 beta=90.00 gamma=90.00
Positions (direct):
Y (0.000, 0.000, 0.190)
Y (0.000, 0.000, 0.810)
Th (0.500, 0.500, 0.500)
Ni (0.500, 0.500, 0.000)

Output
Calculated volume = 103.2 Å³ per cell
Mass density = 7.54 g/cm3
Space group = P4/mmm
Fermi-level density of states = 1.2408 states/eV per atom


Which structure loses on stability? P) does.


P) Computed, not measured: YThNi2 after structural relaxation at the PBE level of DFT.

Unit cell a=4.874 b=4.874 c=3.448 alpha=90.00 beta=90.00 gamma=90.00
Positions (direct):
Y (0.000, 0.000, 0.000)
Th (0.500, 0.500, 0.000)
Ni (0.000, 0.500, 0.500)
Ni (0.500, 0.000, 0.500)

Output
Calculated volume = 81.9 Å³ per cell
Mass density = 8.89 g/cm3
Space group = P4/mmm
Fermi-level density of states = 0.9936 states/eV per atom


Q) Computed, not measured: YThNi2 after structural relaxation at the PBE level of DFT.

Unit cell a=7.222 b=7.222 c=7.222 alpha=31.20 beta=31.20 gamma=31.20
Positions (direct):
Y (0.000, 0.000, 0.000)
Th (0.828, 0.828, 0.828)
Ni (0.245, 0.245, 0.245)
Ni (0.414, 0.414, 0.414)

Output
Calculated volume = 89.7 Å³ per cell
Mass density = 8.11 g/cm3
Space group = R3m
Fermi-level density of states = 0.5840 states/eV per atom


Which structure loses on stability? Q) does.